No. 1
Below is an optimized crystal structure of La5Nd2Tm6, with properties calculated at the PBE level.

a b c (Å): 3.616 11.700 20.940
angles (deg): 90.00 90.00 90.00
Fractional positions:
Nd  0.000  0.802  0.233
Nd  0.000  0.698  0.733
Nd  0.000  0.198  0.767
Nd  0.000  0.302  0.267
La  0.500  0.804  0.069
La  0.500  0.304  0.431
La  0.500  0.941  0.791
La  0.500  0.059  0.209
La  0.500  0.500  0.000
La  0.500  0.000  0.500
La  0.500  0.196  0.931
La  0.500  0.696  0.569
La  0.500  0.441  0.709
La  0.500  0.559  0.291
Tm  0.500  0.193  0.622
Tm  0.000  0.943  0.644
Tm  0.000  0.424  0.565
Tm  0.000  0.924  0.935
Tm  0.000  0.557  0.144
Tm  0.000  0.057  0.356
Tm  0.500  0.807  0.378
Tm  0.000  0.076  0.065
Tm  0.000  0.443  0.856
Tm  0.500  0.307  0.122
Tm  0.500  0.693  0.878
Tm  0.000  0.576  0.435

Properties
* space-group type: Pbam (55)
* energy of formation from the pure elements: 0.09 eV per atom

No. 2
Below is an optimized crystal structure of Ac3Pm2Sm7, with properties calculated at the PBE level.

a b c (Å): 20.014 20.014 3.747
angles (deg): 90.00 90.00 162.84
Fractional positions:
Sm  0.426  0.574  0.000
Sm  0.730  0.270  0.500
Sm  0.000  0.000  0.000
Sm  0.270  0.730  0.500
Sm  0.912  0.088  0.500
Sm  0.088  0.912  0.500
Sm  0.574  0.426  0.000
Ac  0.184  0.816  0.000
Ac  0.816  0.184  0.000
Ac  0.500  0.500  0.500
Pm  0.647  0.353  0.500
Pm  0.353  0.647  0.500

Properties
* space-group type: Cmmm (65)
* energy of formation from the pure elements: 0.12 eV per atom

No. 3
Below is an optimized crystal structure of In2ReHg, with properties calculated at the PBE level.

a b c (Å): 6.889 5.085 3.219
angles (deg): 90.11 61.96 121.91
Fractional positions:
Re  0.000  0.500  0.500
In  0.500  0.000  0.500
In  0.000  0.000  0.000
Hg  0.500  0.500  0.000

Properties
* space-group type: C2/m (12)
* energy of formation from the pure elements: 0.63 eV per atom

No. 4
Below is an optimized crystal structure of PrZnNiN, with properties calculated at the PBE level.

a b c (Å): 3.814 3.814 8.819
angles (deg): 90.00 90.00 90.00
Fractional positions:
Ni  0.500  0.000  0.673
Ni  0.000  0.500  0.327
N  0.500  0.000  0.877
N  0.000  0.500  0.123
Pr  0.500  0.000  0.146
Pr  0.000  0.500  0.854
Zn  0.500  0.500  0.500
Zn  0.000  0.000  0.500

Properties
* space-group type: P4/nmm (129)
* energy relative to the elements, uncorrected: -692 meV per atom